Entry 1:
## Dy2AsP (PBE-GGA)

Data for a relaxed Dy2AsP crystal.

POSCAR file:
```
Dy2AsP
1.0
4.0622 -0.0011 -0.0039
-2.0308 3.5182 0.0039
-2.0265 -1.1747 6.6376
As P Dy
1 1 2
Cartesian
-2.0285 1.1716 3.3207
4.0622 -0.0010 -0.0039
0.0014 2.3444 1.6140
0.0034 -0.0020 5.0238
```

Properties
* space-group type: R-3m (166)
* Fermi-level density of states: 0.5 states/eV/cell
* DFT total energy: -25.555 eV for the cell shown
* total magnetization: 0.00 μB per atom

***

Entry 2:
## Dy4As3P (PBE-GGA)

Data for a relaxed Dy4As3P crystal.

POSCAR file:
```
Dy4As3P
1.0
-5.0818 -0.0494 4.9315
-2.7327 -1.9672 -6.2323
1.7335 -7.8192 1.7080
P As Dy
2 6 8
Cartesian
-2.2936 -6.8832 5.1941
-1.0547 -0.9854 1.4454
-4.9615 -1.9962 0.7955
-1.9874 -3.9253 -1.2434
-4.0937 -5.9106 1.6506
-0.1863 -4.9028 2.3011
-1.1196 -7.8396 -0.3884
-3.1621 -2.9658 4.3383
-4.3899 -2.4641 -2.0370
-4.6554 -5.4481 4.4422
-0.4610 -1.4349 -1.3130
-3.5227 -6.4146 -1.1319
-2.5584 -3.4212 1.5391
-1.4257 -4.3877 -4.0350
-5.6201 -8.4009 1.7202
-1.6912 -7.3717 2.4442
```

Properties
* space-group type: P2/c (13)
* Fermi-level density of states: 1.4 states/eV/cell
* DFT total energy: -100.396 eV for the cell shown
* total magnetization: 0.00 μB per atom